[1]
{"formula": "Mg2ZnCu2", "functional": "PBE", "state": "optimized geometry", "cell": [[2.235, -3.396, 0.000], [2.235, 3.396, 0.000], [0.000, 0.000, 5.991]], "species": ["Cu", "Cu", "Mg", "Mg", "Zn"], "frac_coords": [[0.828, 0.172, 0.000], [0.172, 0.828, 0.000], [0.500, 0.500, 0.756], [0.500, 0.500, 0.244], [0.000, 0.000, 0.500]], "final_energy_ev_per_atom": -2.44, "spacegroup": "No. 65", "m_tot_mub_per_cell": 0.0, "ef_mev_per_atom": 94}



[2]
{"formula": "Mg2Zn4Cu", "functional": "PBE", "state": "optimized geometry", "cell": [[7.879, 0.174, 0.000], [2.940, 7.311, 0.000], [-5.410, -3.743, 4.339]], "species": ["Cu", "Cu", "Zn", "Zn", "Zn", "Zn", "Zn", "Zn", "Zn", "Zn", "Mg", "Mg", "Mg", "Mg"], "frac_coords": [[0.500, 0.000, 0.500], [0.000, 0.500, 0.500], [0.572, 0.268, 0.000], [0.428, 0.428, 0.696], [0.072, 0.072, 0.304], [0.232, 0.928, 0.000], [0.768, 0.768, 0.696], [0.268, 0.572, 0.000], [0.732, 0.732, 0.304], [0.928, 0.232, 0.000], [0.416, 0.416, 0.331], [0.084, 0.084, 0.669], [0.584, 0.916, 0.000], [0.916, 0.584, 0.000]], "final_energy_ev_per_atom": -1.72, "spacegroup": "No. 140", "m_tot_mub_per_cell": 0.0, "polymorph_energy_mev_per_atom": 86, "ef_mev_per_atom": 49}



[3]
{"formula": "MgZnCu", "functional": "PBE", "state": "optimized geometry", "cell": [[-0.253, 0.916, -5.005], [-3.140, -3.918, -0.558], [-5.825, 4.509, 1.120]], "species": ["Zn", "Zn", "Zn", "Zn", "Mg", "Mg", "Mg", "Mg", "Cu", "Cu", "Cu", "Cu"], "frac_coords": [[0.500, 0.165, 0.750], [0.000, 0.165, 0.750], [0.000, 0.835, 0.250], [0.500, 0.835, 0.250], [0.250, 0.647, 0.602], [0.750, 0.647, 0.898], [0.750, 0.353, 0.398], [0.250, 0.353, 0.102], [0.750, 0.858, 0.540], [0.250, 0.858, 0.960], [0.750, 0.142, 0.040], [0.250, 0.142, 0.460]], "final_energy_ev_per_atom": -2.46, "spacegroup": "No. 57", "m_tot_mub_per_cell": 0.0, "ef_mev_per_atom": -134}



[4]
{"formula": "Mg2ZnCu2", "functional": "PBE", "state": "optimized geometry", "cell": [[-2.303, 1.717, -4.121], [-1.020, -4.919, -0.062], [-6.022, 1.200, 3.864]], "species": ["Mg", "Mg", "Mg", "Mg", "Cu", "Cu", "Cu", "Cu", "Zn", "Zn"], "frac_coords": [[0.802, 0.198, 0.500], [0.198, 0.802, 0.000], [0.198, 0.802, 0.500], [0.802, 0.198, 0.000], [0.671, 0.671, 0.088], [0.671, 0.671, 0.412], [0.329, 0.329, 0.588], [0.329, 0.329, 0.912], [0.700, 0.700, 0.750], [0.300, 0.300, 0.250]], "final_energy_ev_per_atom": -2.50, "spacegroup": "No. 63", "m_tot_mub_per_cell": 0.0, "ef_mev_per_atom": 27}



[5]
{"formula": "Mg3Zn2Cu", "functional": "PBE", "state": "optimized geometry", "cell": [[6.499, -0.041, 0.000], [1.265, 6.375, 0.000], [0.000, 0.000, 5.137]], "species": ["Mg", "Mg", "Mg", "Mg", "Mg", "Mg", "Zn", "Zn", "Zn", "Zn", "Cu", "Cu"], "frac_coords": [[0.942, 0.598, 0.750], [0.058, 0.402, 0.250], [0.077, 0.077, 0.750], [0.598, 0.942, 0.750], [0.402, 0.058, 0.250], [0.923, 0.923, 0.250], [0.679, 0.321, 0.000], [0.679, 0.321, 0.500], [0.321, 0.679, 0.000], [0.321, 0.679, 0.500], [0.334, 0.334, 0.750], [0.666, 0.666, 0.250]], "final_energy_ev_per_atom": -1.97, "spacegroup": "No. 63", "m_tot_mub_per_cell": 0.0, "polymorph_energy_mev_per_atom": 24, "ef_mev_per_atom": -63}



[6]
{"formula": "MgZn2Cu", "functional": "PBE", "state": "optimized geometry", "cell": [[-4.463, 0.524, -1.994], [-1.970, -6.552, 2.686], [-4.585, 6.262, 11.912]], "species": ["Cu", "Cu", "Cu", "Cu", "Cu", "Cu", "Cu", "Cu", "Mg", "Mg", "Mg", "Mg", "Mg", "Mg", "Mg", "Mg", "Zn", "Zn", "Zn", "Zn", "Zn", "Zn", "Zn", "Zn", "Zn", "Zn", "Zn", "Zn", "Zn", "Zn", "Zn", "Zn"], "frac_coords": [[0.958, 0.250, 0.067], [0.242, 0.250, 0.314], [0.758, 0.750, 0.686], [0.042, 0.750, 0.933], [0.258, 0.250, 0.814], [0.542, 0.250, 0.567], [0.742, 0.750, 0.186], [0.458, 0.750, 0.433], [0.245, 0.750, 0.109], [0.956, 0.750, 0.362], [0.044, 0.250, 0.638], [0.255, 0.750, 0.609], [0.745, 0.250, 0.391], [0.456, 0.250, 0.138], [0.755, 0.250, 0.891], [0.544, 0.750, 0.862], [0.058, 0.943, 0.786], [0.558, 0.443, 0.714], [0.762, 0.943, 0.536], [0.238, 0.443, 0.464], [0.262, 0.057, 0.964], [0.762, 0.557, 0.536], [0.558, 0.057, 0.714], [0.058, 0.557, 0.786], [0.442, 0.557, 0.286], [0.738, 0.557, 0.036], [0.442, 0.943, 0.286], [0.942, 0.443, 0.214], [0.262, 0.443, 0.964], [0.738, 0.943, 0.036], [0.238, 0.057, 0.464], [0.942, 0.057, 0.214]], "final_energy_ev_per_atom": -2.16, "spacegroup": "No. 62", "m_tot_mub_per_cell": 0.0, "ef_mev_per_atom": -100}



[7]
{"formula": "MgZn2Cu", "functional": "PBE", "state": "optimized geometry", "cell": [[-0.836, -1.557, -2.445], [-3.032, -1.794, 2.179], [-6.251, 7.423, -2.589]], "species": ["Zn", "Zn", "Zn", "Zn", "Mg", "Mg", "Cu", "Cu"], "frac_coords": [[0.750, 0.750, 0.032], [0.250, 0.250, 0.968], [0.750, 0.250, 0.434], [0.250, 0.750, 0.566], [0.250, 0.750, 0.281], [0.750, 0.250, 0.719], [0.250, 0.750, 0.818], [0.750, 0.250, 0.182]], "final_energy_ev_per_atom": -2.15, "spacegroup": "No. 59", "m_tot_mub_per_cell": 0.0, "ef_mev_per_atom": -91}



[8]
{"formula": "MgZnCu2", "functional": "PBE", "state": "optimized geometry", "cell": [[3.075, -0.013, 0.000], [0.013, 3.075, 0.000], [0.000, 0.000, 6.132]], "species": ["Cu", "Cu", "Mg", "Zn"], "frac_coords": [[0.000, 0.000, 0.007], [0.500, 0.500, 0.220], [0.000, 0.000, 0.484], [0.500, 0.500, 0.789]], "final_energy_ev_per_atom": -2.84, "spacegroup": "No. 99", "m_tot_mub_per_cell": 0.0, "ef_mev_per_atom": -73}



[9]
{"formula": "Mg3Zn4Cu2", "functional": "PBE", "state": "optimized geometry", "cell": [[1.630, 6.655, -0.120], [-1.630, 6.655, -0.120], [0.000, 2.007, 6.563]], "species": ["Cu", "Cu", "Zn", "Zn", "Zn", "Zn", "Mg", "Mg", "Mg"], "frac_coords": [[0.679, 0.679, 0.974], [0.321, 0.321, 0.026], [0.549, 0.549, 0.654], [0.202, 0.202, 0.671], [0.451, 0.451, 0.346], [0.798, 0.798, 0.329], [0.000, 0.000, 0.000], [0.872, 0.872, 0.694], [0.128, 0.128, 0.306]], "final_energy_ev_per_atom": -2.08, "spacegroup": "No. 12", "m_tot_mub_per_cell": 0.0, "ef_mev_per_atom": -72}



[10]
{"formula": "Mg3Zn3Cu", "functional": "PBE", "state": "optimized geometry", "cell": [[-1.787, 3.102, -6.808], [-5.568, -2.626, 4.611], [-0.319, 4.131, 1.966]], "species": ["Zn", "Zn", "Zn", "Zn", "Zn", "Zn", "Mg", "Mg", "Mg", "Mg", "Mg", "Mg", "Cu", "Cu"], "frac_coords": [[0.056, 0.233, 0.750], [0.176, 0.944, 0.750], [0.767, 0.824, 0.750], [0.824, 0.056, 0.250], [0.944, 0.767, 0.250], [0.233, 0.176, 0.250], [0.904, 0.537, 0.750], [0.463, 0.367, 0.750], [0.096, 0.463, 0.250], [0.537, 0.633, 0.250], [0.633, 0.096, 0.750], [0.367, 0.904, 0.250], [0.667, 0.333, 0.250], [0.333, 0.667, 0.750]], "final_energy_ev_per_atom": -1.87, "spacegroup": "No. 176", "m_tot_mub_per_cell": 0.0, "polymorph_energy_mev_per_atom": 0, "ef_mev_per_atom": -55}



[11]
{"formula": "MgZnCu", "functional": "PBE", "state": "optimized geometry", "cell": [[6.440, 0.000, 0.000], [0.000, 3.607, 0.000], [0.000, 0.000, 9.342]], "species": ["Zn", "Zn", "Zn", "Zn", "Cu", "Cu", "Cu", "Cu", "Mg", "Mg", "Mg", "Mg"], "frac_coords": [[0.237, 0.250, 0.380], [0.763, 0.750, 0.880], [0.237, 0.250, 0.120], [0.763, 0.750, 0.620], [0.028, 0.250, 0.887], [0.972, 0.750, 0.113], [0.028, 0.250, 0.613], [0.972, 0.750, 0.387], [0.665, 0.250, 0.093], [0.665, 0.250, 0.407], [0.335, 0.750, 0.593], [0.335, 0.750, 0.907]], "final_energy_ev_per_atom": -2.19, "spacegroup": "No. 59", "m_tot_mub_per_cell": 0.0, "ef_mev_per_atom": 127}



Repeat the seventh record exactly.
{"formula": "MgZn2Cu", "functional": "PBE", "state": "optimized geometry", "cell": [[-0.836, -1.557, -2.445], [-3.032, -1.794, 2.179], [-6.251, 7.423, -2.589]], "species": ["Zn", "Zn", "Zn", "Zn", "Mg", "Mg", "Cu", "Cu"], "frac_coords": [[0.750, 0.750, 0.032], [0.250, 0.250, 0.968], [0.750, 0.250, 0.434], [0.250, 0.750, 0.566], [0.250, 0.750, 0.281], [0.750, 0.250, 0.719], [0.250, 0.750, 0.818], [0.750, 0.250, 0.182]], "final_energy_ev_per_atom": -2.15, "spacegroup": "No. 59", "m_tot_mub_per_cell": 0.0, "ef_mev_per_atom": -91}